Here is a relaxed TbSnPb crystal from the Open Quantum Materials Database. Energies are from GGA-PBE.

## Properties
Space-group type ... F-43m
Total energy ... -4.226 eV/atom
Energy relative to the lowest polymorph listed for this composition ... 0 meV/atom

extended XYZ file:
```
3
Lattice="0.000 3.691 3.691 3.691 0.000 3.691 3.691 3.691 0.000" Properties=species:S:1:pos:R:3 pbc="T T T"
Tb 0.000 0.000 0.000
Sn 5.537 5.537 5.537
Pb 3.691 3.691 3.691
```



Here is a relaxed Tb3Sn3Pb4 crystal from the Open Quantum Materials Database. Energies are from GGA-PBE.

## Properties
Space-group type ... Cmmm
Total energy ... -4.509 eV/atom
Energy relative to the lowest polymorph listed for this composition ... 0 meV/atom

extended XYZ file:
```
10
Lattice="2.249 -13.427 0.000 2.249 13.427 0.000 0.000 0.000 4.591" Properties=species:S:1:pos:R:3 pbc="T T T"
Tb 0.000 0.000 0.000
Tb 2.249 5.186 2.296
Tb 2.249 -5.186 2.296
Sn 2.249 7.757 0.000
Sn 2.249 0.000 2.296
Sn 2.249 -7.757 0.000
Pb 2.249 10.812 2.296
Pb 2.249 2.638 0.000
Pb 2.249 -2.638 0.000
Pb 2.249 -10.812 2.296
```



Here is a relaxed TbSnPb crystal from the Open Quantum Materials Database. Energies are from GGA-PBE.

## Properties
Space-group type ... Cmmm
Total energy ... -3.943 eV/atom
Energy relative to the lowest polymorph listed for this composition ... 284 meV/atom

extended XYZ file:
```
6
Lattice="3.132 -9.587 0.000 3.132 9.587 0.000 0.000 0.000 3.288" Properties=species:S:1:pos:R:3 pbc="T T T"
Tb 3.132 7.759 0.000
Tb 3.132 -7.759 0.000
Sn 3.132 4.634 0.000
Sn 3.132 -4.634 0.000
Pb 3.132 1.605 0.000
Pb 3.132 -1.605 0.000
```



Repeat the first record exactly.
Here is a relaxed TbSnPb crystal from the Open Quantum Materials Database. Energies are from GGA-PBE.

## Properties
Space-group type ... F-43m
Total energy ... -4.226 eV/atom
Energy relative to the lowest polymorph listed for this composition ... 0 meV/atom

extended XYZ file:
```
3
Lattice="0.000 3.691 3.691 3.691 0.000 3.691 3.691 3.691 0.000" Properties=species:S:1:pos:R:3 pbc="T T T"
Tb 0.000 0.000 0.000
Sn 5.537 5.537 5.537
Pb 3.691 3.691 3.691
```



Question: energy relative to the lowest polymorph listed for this composition of number 3 (TbSnPb)?
Answer: 284 meV/atom



Question: What is the energy relative to the lowest polymorph listed for this composition in the first record?
Answer: 0 meV/atom



Question: Which of these has the highest total energy?
Answer: number 3